Compound: NdY2ScSe4
Source: the Alexandria database
Functional: PBE
Structure: optimized geometry

a b c (Å): 4.0363 7.1569 7.0327
angles (deg): 108.93 90.00 90.00
Fractional positions:
Se  0.0000  0.2360  0.7469
Se  0.5000  0.7649  0.7567
Se  0.5000  0.2351  0.2433
Se  0.0000  0.7640  0.2531
Sc  0.0000  0.0000  0.0000
Nd  0.5000  0.5000  0.0000
Y  0.0000  0.5000  0.5000
Y  0.5000  0.0000  0.5000

For the total magnetization, the calculation gives 0.00 μB/f.u. Its energy relative to the elements, uncorrected is -1714 meV per atom. Its total energy is -51.7 eV per cell. As for the symmetry: P2/m.


Compound: GaPb3O
Source: the Alexandria database
Functional: PBE
Structure: optimized geometry

a b c (Å): 5.0327 5.0327 5.0327
angles (deg): 90.00 90.00 90.00
Fractional positions:
Pb  0.0000  0.0000  0.5000
Pb  0.5000  0.0000  0.0000
Pb  0.0000  0.5000  0.0000
O  0.0000  0.0000  0.0000
Ga  0.5000  0.5000  0.5000

For the total magnetization, the calculation gives 0.00 μB/f.u. Its energy relative to the elements, uncorrected is -215 meV per atom. Its total energy is -20.2 eV per cell. As for the symmetry: Pm-3m.


Compound: TbNd6DyTm2
Source: the Alexandria database
Functional: PBE
Structure: optimized geometry

a b c (Å): 9.6276 8.9320 8.9320
angles (deg): 117.42 93.79 93.79
Fractional positions:
Nd  0.6179  0.4876  0.7062
Nd  0.8821  0.2938  0.5124
Nd  0.5546  0.7626  0.1141
Nd  0.0546  0.1141  0.7626
Nd  0.1862  0.5621  0.0088
Nd  0.4454  0.2374  0.8859
Nd  0.9454  0.8859  0.2374
Nd  0.8138  0.4379  0.9912
Nd  0.1179  0.7062  0.4876
Nd  0.6862  0.0088  0.5621
Nd  0.3138  0.9912  0.4379
Nd  0.3821  0.5124  0.2938
Tb  0.7500  0.0295  0.9705
Tb  0.2500  0.9705  0.0295
Tm  0.5474  0.2007  0.2972
Tm  0.4526  0.7993  0.7028
Tm  0.9526  0.7028  0.7993
Tm  0.0474  0.2972  0.2007
Dy  0.2500  0.4107  0.5893
Dy  0.7500  0.5893  0.4107

For the total magnetization, the calculation gives 0.00 μB/f.u. Its total energy is -91.2 eV per cell. As for the symmetry: C2/c.


Compound: AlReSb2
Source: the Alexandria database
Functional: PBE
Structure: optimized geometry

a b c (Å): 3.2589 3.2589 7.7024
angles (deg): 90.00 90.00 90.00
Fractional positions:
Sb  0.0000  0.0000  0.9653
Sb  0.0000  0.0000  0.5347
Re  0.5000  0.5000  0.7500
Al  0.5000  0.5000  0.2500

For the total magnetization, the calculation gives 0.00 μB/f.u. Its energy relative to the elements, uncorrected is 335 meV per atom. Its total energy is -23.1 eV per cell. As for the symmetry: P4/mmm.


Compound: PdRu3
Source: the Alexandria database
Functional: PBE
Structure: optimized geometry

a b c (Å): 2.7575 4.3452 4.7420
angles (deg): 90.00 90.00 90.00
Fractional positions:
Ru  0.0000  0.5000  0.3355
Ru  0.5000  0.0000  0.5001
Ru  0.5000  0.5000  0.8290
Pd  0.0000  0.0000  0.0020

For the total magnetization, the calculation gives 0.00 μB/f.u. Its total energy is -32.4 eV per cell. As for the symmetry: Pmm2.


Compound: HgAs2HSe
Source: the Alexandria database
Functional: PBE
Structure: optimized geometry

a b c (Å): 5.2656 5.2656 5.4060
angles (deg): 90.00 90.00 90.00
Fractional positions:
As  0.0000  0.5000  0.0000
As  0.5000  0.0000  0.0000
Hg  0.0000  0.0000  0.0000
Se  0.0000  0.0000  0.5000
H  0.5000  0.5000  0.5000

For the total magnetization, the calculation gives 1.78 μB/f.u. Its total energy is -9.5 eV per cell. As for the symmetry: P4/mmm.